# Cd2CuCl, relaxed, DFT PBE
# uncorrected formation energy = -0.048 eV/atom
# energy above the lowest structure with this stoichiometry = 0.56 eV/f.u.
data_Cd2CuCl
_cell_length_a 3.164
_cell_length_b 3.164
_cell_length_c 8.303
_cell_angle_alpha 90.00
_cell_angle_beta 90.00
_cell_angle_gamma 90.00
_space_group_name_H-M_alt 'P 1'
_space_group_IT_number 1
loop_
_space_group_symop_operation_xyz
'x,y,z'
loop_
_atom_site_label
_atom_site_type_symbol
_atom_site_fract_x
_atom_site_fract_y
_atom_site_fract_z
Cd1 Cd 0.000 0.000 0.000
Cd2 Cd 0.500 0.500 0.292
Cu1 Cu 0.500 0.500 0.789
Cl1 Cl 0.000 0.000 0.622